La6ZnCo2Br3: relaxed, PBE-GGA.

The structure belongs to space group C2/m (No. 12); the cell edges are 19.5850, 4.1598 and 9.3477 Å and the angles 90.00°, 110.79° and 90.00°. The inequivalent atoms are La at (0.0232, 0.0000, 0.2553), La at (0.1632, 0.5000, 0.1244), La at (0.1849, 0.5000, 0.5578), Zn at (0.0000, 0.5000, 0.0000), Co at (0.1682, 0.0000, 0.3361), Br at (0.0000, 0.5000, 0.5000) and Br at (0.1628, 0.0000, 0.8356).

The total energy comes out at -4.96 eV per atom. As for the spin magnetization: 0.00 μB/atom. The value obtained for the energy relative to the elements, uncorrected is -790.5 meV/atom.


La4ZnCoBr2: relaxed, PBE-GGA.

The structure belongs to space group P2/m (No. 10); the cell edges are 7.4619, 4.1652 and 8.1633 Å and the angles 90.00°, 106.61° and 90.00°. The inequivalent atoms are La at (0.2226, 0.0000, 0.2951), La at (0.2252, 0.5000, 0.7007), Zn at (0.5000, 0.5000, 0.5000), Co at (0.0000, 0.0000, 0.5000), Br at (0.0000, 0.5000, 0.0000) and Br at (0.5000, 0.0000, 0.0000).

The total energy comes out at -4.69 eV per atom. As for the spin magnetization: 0.00 μB/atom. The value obtained for the energy relative to the elements, uncorrected is -760.9 meV/atom.


La2ZnCoBr: relaxed, PBE-GGA.

The structure belongs to space group P4/mmm (No. 123); the cell edges are 5.2807, 5.2807 and 4.7039 Å and the angles 90.00°, 90.00° and 90.00°. The inequivalent atoms are La at (0.0000, 0.5000, 0.0000), Zn at (0.0000, 0.0000, 0.5000), Co at (0.0000, 0.0000, 0.0000) and Br at (0.5000, 0.5000, 0.5000).

The total energy comes out at -4.54 eV per atom. As for the spin magnetization: 0.00 μB/atom. The value obtained for the energy relative to the elements, uncorrected is -554.0 meV/atom.


LiCoBr3: relaxed, PBE-GGA.

The structure belongs to space group Ama2 (No. 40); the cell edges are 3.8934, 24.0668 and 6.5671 Å and the angles 90.00°, 90.00° and 90.00°. The inequivalent atoms are Li at (0.2500, 0.1886, 0.0000), Co at (0.2500, 0.3711, 0.9579), Br at (0.2500, 0.0783, 0.3412), Br at (0.2500, 0.2828, 0.7822) and Br at (0.2500, 0.3672, 0.3188).

The total energy comes out at -3.58 eV per atom. The excess energy over the best structure of this formula in the dataset is 0 meV/atom. As for the spin magnetization: 0.60 μB/atom. The value obtained for the energy relative to the elements, uncorrected is -771.9 meV/atom.


LiCoBr2: relaxed, PBE-GGA.

The structure belongs to space group I-4m2 (No. 119); the cell edges are 3.5947, 3.5947 and 16.7799 Å and the angles 90.00°, 90.00° and 90.00°. The inequivalent atoms are Li at (0.0000, 0.0000, 0.0000), Co at (0.0000, 0.5000, 0.2500), Br at (0.0000, 0.0000, 0.5000) and Br at (0.0000, 0.5000, 0.7500).

The total energy comes out at -3.47 eV per atom. The excess energy over the best structure of this formula in the dataset is 179 meV/atom. As for the spin magnetization: 0.50 μB/atom. The value obtained for the energy relative to the elements, uncorrected is -377.1 meV/atom.


LiCo2Br: relaxed, PBE-GGA.

The structure belongs to space group Fm-3m (No. 225); the cell edges are 5.9233, 5.9233 and 5.9233 Å and the angles 90.00°, 90.00° and 90.00°. The inequivalent atoms are Li at (0.0000, 0.0000, 0.0000), Co at (0.2500, 0.2500, 0.2500) and Br at (0.0000, 0.0000, 0.5000).

The total energy comes out at -3.83 eV per atom. The excess energy over the best structure of this formula in the dataset is 567 meV/atom. As for the spin magnetization: 0.66 μB/atom. The value obtained for the energy relative to the elements, uncorrected is 620.9 meV/atom.


LiCo2Br: relaxed, PBE-GGA.

The structure belongs to space group Cmmm (No. 65); the cell edges are 4.8210, 4.8524 and 5.5253 Å and the angles 90.00°, 90.00° and 90.00°. The inequivalent atoms are Li at (0.0000, 0.0000, 0.0000), Co at (0.2458, 0.0000, 0.5000) and Br at (0.0000, 0.5000, 0.0000).

The total energy comes out at -4.23 eV per atom. The excess energy over the best structure of this formula in the dataset is 163 meV/atom. As for the spin magnetization: 0.97 μB/atom. The value obtained for the energy relative to the elements, uncorrected is 216.8 meV/atom.


LiCoBr2: relaxed, PBE-GGA.

The structure belongs to space group I-42d (No. 122); the cell edges are 5.7588, 5.7588 and 11.4667 Å and the angles 90.00°, 90.00° and 90.00°. The inequivalent atoms are Li at (0.0000, 0.0000, 0.0000), Co at (0.0000, 0.0000, 0.5000) and Br at (0.2351, 0.2500, 0.6250).

The total energy comes out at -3.65 eV per atom. The excess energy over the best structure of this formula in the dataset is 0 meV/atom. As for the spin magnetization: 0.50 μB/atom. The value obtained for the energy relative to the elements, uncorrected is -555.8 meV/atom.


LiCo2Br: relaxed, PBE-GGA.

The structure belongs to space group Cm (No. 8); the cell edges are 6.1983, 3.3548 and 7.1978 Å and the angles 90.00°, 111.53° and 90.00°. The inequivalent atoms are Li at (0.0000, 0.0000, 0.0000), Co at (0.1804, 0.0000, 0.6984), Co at (0.4408, 0.0000, 0.5485) and Br at (0.2842, 0.5000, 0.2349).

The total energy comes out at -4.31 eV per atom. The excess energy over the best structure of this formula in the dataset is 81 meV/atom. As for the spin magnetization: 0.94 μB/atom. The value obtained for the energy relative to the elements, uncorrected is 135.1 meV/atom.


LiCo2Br: relaxed, PBE-GGA.

The structure belongs to space group I-4m2 (No. 119); the cell edges are 3.9035, 3.9035 and 7.2311 Å and the angles 90.00°, 90.00° and 90.00°. The inequivalent atoms are Li at (0.0000, 0.0000, 0.0000), Co at (0.0000, 0.0000, 0.5000), Co at (0.0000, 0.5000, 0.2500) and Br at (0.0000, 0.5000, 0.7500).

The total energy comes out at -3.94 eV per atom. The excess energy over the best structure of this formula in the dataset is 452 meV/atom. As for the spin magnetization: 0.75 μB/atom. The value obtained for the energy relative to the elements, uncorrected is 505.5 meV/atom.


LiCo2Br: relaxed, PBE-GGA.

The structure belongs to space group I4/mmm (No. 139); the cell edges are 3.3236, 3.3236 and 12.0747 Å and the angles 90.00°, 90.00° and 90.00°. The inequivalent atoms are Li at (0.0000, 0.0000, 0.0000), Co at (0.0000, 0.0000, 0.2803) and Br at (0.0000, 0.0000, 0.5000).

The total energy comes out at -4.33 eV per atom. The excess energy over the best structure of this formula in the dataset is 68 meV/atom. As for the spin magnetization: 0.98 μB/atom. The value obtained for the energy relative to the elements, uncorrected is 121.2 meV/atom.


LiCoBr2: relaxed, PBE-GGA.

The structure belongs to space group Amm2 (No. 38); the cell edges are 5.2162, 5.0775 and 6.2682 Å and the angles 90.00°, 90.00° and 90.00°. The inequivalent atoms are Li at (0.0000, 0.0000, 0.0000), Co at (0.5000, 0.0000, 0.6805), Br at (0.0000, 0.0000, 0.5921) and Br at (0.5000, 0.0000, 0.0813).

The total energy comes out at -3.62 eV per atom. The excess energy over the best structure of this formula in the dataset is 23 meV/atom. As for the spin magnetization: 0.50 μB/atom. The value obtained for the energy relative to the elements, uncorrected is -532.8 meV/atom.


LiCoBr2: relaxed, PBE-GGA.

The structure belongs to space group R3m (No. 160, hexagonal axes); the cell edges are 4.0363, 4.0363 and 22.6459 Å and the angles 90.00°, 90.00° and 120.00°. The inequivalent atoms are Li at (0.0000, 0.0000, 0.0000), Co at (0.0000, 0.0000, 0.1453), Br at (0.0000, 0.0000, 0.4571) and Br at (0.0000, 0.0000, 0.6349).

The total energy comes out at -3.55 eV per atom. The excess energy over the best structure of this formula in the dataset is 94 meV/atom. As for the spin magnetization: 0.50 μB/atom. The value obtained for the energy relative to the elements, uncorrected is -461.9 meV/atom.


LiCo2Br: relaxed, PBE-GGA.

The structure belongs to space group Cmmm (No. 65); the cell edges are 4.8784, 8.0975 and 2.9517 Å and the angles 90.00°, 90.00° and 90.00°. The inequivalent atoms are Li at (0.0000, 0.0000, 0.0000), Co at (0.2500, 0.2500, 0.5000) and Br at (0.0000, 0.5000, 0.0000).

The total energy comes out at -3.84 eV per atom. The excess energy over the best structure of this formula in the dataset is 555 meV/atom. As for the spin magnetization: 0.74 μB/atom. The value obtained for the energy relative to the elements, uncorrected is 609.0 meV/atom.


LiCoBr3: relaxed, PBE-GGA.

The structure belongs to space group Pm-3m (No. 221); the cell edges are 5.0530, 5.0530 and 5.0530 Å and the angles 90.00°, 90.00° and 90.00°. The inequivalent atoms are Li at (0.0000, 0.0000, 0.0000), Co at (0.5000, 0.5000, 0.5000) and Br at (0.0000, 0.5000, 0.5000).

The total energy comes out at -3.26 eV per atom. The excess energy over the best structure of this formula in the dataset is 324 meV/atom. As for the spin magnetization: 0.44 μB/atom. The value obtained for the energy relative to the elements, uncorrected is -447.7 meV/atom.


LiCoBr2: relaxed, PBE-GGA.

The structure belongs to space group F-43m (No. 216); the cell edges are 7.1058, 7.1058 and 7.1058 Å and the angles 90.00°, 90.00° and 90.00°. The inequivalent atoms are Li at (0.0000, 0.0000, 0.0000), Co at (0.2500, 0.2500, 0.7500), Br at (0.0000, 0.0000, 0.5000) and Br at (0.2500, 0.2500, 0.2500).

The total energy comes out at -2.77 eV per atom. The excess energy over the best structure of this formula in the dataset is 881 meV/atom. As for the spin magnetization: 0.53 μB/atom. The value obtained for the energy relative to the elements, uncorrected is 325.5 meV/atom.


LiCoBr2: relaxed, PBE-GGA.

The structure belongs to space group P4/mmm (No. 123); the cell edges are 3.3878, 3.3878 and 6.7784 Å and the angles 90.00°, 90.00° and 90.00°. The inequivalent atoms are Li at (0.0000, 0.0000, 0.0000), Co at (0.0000, 0.0000, 0.5000) and Br at (0.5000, 0.5000, 0.2584).

The total energy comes out at -3.26 eV per atom. The excess energy over the best structure of this formula in the dataset is 386 meV/atom. As for the spin magnetization: 0.50 μB/atom. The value obtained for the energy relative to the elements, uncorrected is -169.6 meV/atom.


LiCo2Br: relaxed, PBE-GGA.

The structure belongs to space group P4mm (No. 99); the cell edges are 3.2143, 3.2143 and 6.5720 Å and the angles 90.00°, 90.00° and 90.00°. The inequivalent atoms are Li at (0.0000, 0.0000, 0.0000), Co at (0.0000, 0.0000, 0.6065), Co at (0.5000, 0.5000, 0.7385) and Br at (0.5000, 0.5000, 0.1415).

The total energy comes out at -4.37 eV per atom. The excess energy over the best structure of this formula in the dataset is 25 meV/atom. As for the spin magnetization: 0.98 μB/atom. The value obtained for the energy relative to the elements, uncorrected is 78.6 meV/atom.


LiCoBr2: relaxed, PBE-GGA.

The structure belongs to space group P4/mmm (No. 123); the cell edges are 3.8085, 3.8085 and 5.3853 Å and the angles 90.00°, 90.00° and 90.00°. The inequivalent atoms are Li at (0.0000, 0.0000, 0.0000), Co at (0.5000, 0.5000, 0.5000), Br at (0.0000, 0.0000, 0.5000) and Br at (0.5000, 0.5000, 0.0000).

The total energy comes out at -3.61 eV per atom. The excess energy over the best structure of this formula in the dataset is 40 meV/atom. As for the spin magnetization: 0.50 μB/atom. The value obtained for the energy relative to the elements, uncorrected is -515.3 meV/atom.


Li3Co5Br12: relaxed, PBE-GGA.

The structure belongs to space group Ia-3d (No. 230); the cell edges are 16.0205, 16.0205 and 16.0205 Å and the angles 90.00°, 90.00° and 90.00°. The inequivalent atoms are Li at (0.0000, 0.2500, 0.1250), Co at (0.0000, 0.0000, 0.0000), Co at (0.0000, 0.2500, 0.3750) and Br at (0.0280, 0.0556, 0.6500).

The total energy comes out at -3.60 eV per atom. As for the spin magnetization: 0.70 μB/atom. The value obtained for the energy relative to the elements, uncorrected is -530.4 meV/atom.


LiCoBr2: relaxed, PBE-GGA.

The structure belongs to space group R-3m (No. 166, hexagonal axes); the cell edges are 3.8428, 3.8428 and 22.8017 Å and the angles 90.00°, 90.00° and 120.00°. The inequivalent atoms are Li at (0.0000, 0.0000, 0.0000), Co at (0.0000, 0.0000, 0.5000) and Br at (0.0000, 0.0000, 0.3995).

The total energy comes out at -3.50 eV per atom. The excess energy over the best structure of this formula in the dataset is 145 meV/atom. As for the spin magnetization: 0.50 μB/atom. The value obtained for the energy relative to the elements, uncorrected is -410.9 meV/atom.


LiCoBr2: relaxed, PBE-GGA.

The structure belongs to space group P4/mmm (No. 123); the cell edges are 4.7996, 4.7996 and 3.3268 Å and the angles 90.00°, 90.00° and 90.00°. The inequivalent atoms are Li at (0.0000, 0.0000, 0.0000), Co at (0.5000, 0.5000, 0.0000) and Br at (0.0000, 0.5000, 0.5000).

The total energy comes out at -3.30 eV per atom. The excess energy over the best structure of this formula in the dataset is 346 meV/atom. As for the spin magnetization: 0.51 μB/atom. The value obtained for the energy relative to the elements, uncorrected is -209.6 meV/atom.


LiCo2Br: relaxed, PBE-GGA.

The structure belongs to space group I-42d (No. 122); the cell edges are 7.5892, 7.5892 and 4.6098 Å and the angles 90.00°, 90.00° and 90.00°. The inequivalent atoms are Li at (0.0000, 0.0000, 0.0000), Co at (0.1934, 0.2500, 0.6250) and Br at (0.0000, 0.0000, 0.5000).

The total energy comes out at -3.84 eV per atom. The excess energy over the best structure of this formula in the dataset is 552 meV/atom. As for the spin magnetization: 0.88 μB/atom. The value obtained for the energy relative to the elements, uncorrected is 605.7 meV/atom.


Li2CoBr4: relaxed, PBE-GGA.

The structure belongs to space group I-42m (No. 121); the cell edges are 6.2919, 6.2919 and 11.3504 Å and the angles 90.00°, 90.00° and 90.00°. The inequivalent atoms are Li at (0.0000, 0.5000, 0.0000), Co at (0.0000, 0.0000, 0.0000) and Br at (0.2285, 0.2285, 0.1134).

The total energy comes out at -3.50 eV per atom. As for the spin magnetization: 0.43 μB/atom. The value obtained for the energy relative to the elements, uncorrected is -984.1 meV/atom.